! TbEuIn4 (GGA-PBE, relaxed); values from VASP
&SYSTEM
  ibrav = 0, nat = 6, ntyp = 3
/
ATOMIC_SPECIES
In 114.82 In.upf
Tb 158.93 Tb.upf
Eu 151.96 Eu.upf
CELL_PARAMETERS angstrom
6.086 0.000 0.000
3.043 5.270 0.000
3.043 1.757 4.969
ATOMIC_POSITIONS crystal
In 0.125 0.625 0.625
In 0.625 0.125 0.625
In 0.625 0.625 0.625
Tb 0.250 0.250 0.250
In 0.625 0.625 0.125
Eu 0.000 0.000 0.000
! N(E_F)   9.730 states/eV/f.u.
! E_form   -0.364 eV/atom
! Total moment   1.263 μB per atom

---

! TbEuIn2 (GGA-PBE, relaxed); values from VASP
&SYSTEM
  ibrav = 0, nat = 4, ntyp = 3
/
ATOMIC_SPECIES
Eu 151.96 Eu.upf
In 114.82 In.upf
Tb 158.93 Tb.upf
CELL_PARAMETERS angstrom
3.858 0.000 0.000
0.000 3.858 0.000
0.000 0.000 7.721
ATOMIC_POSITIONS crystal
Eu 0.500 0.500 0.500
In 0.000 0.000 0.767
In 0.000 0.000 0.233
Tb 0.500 0.500 0.000
! N(E_F)   8.412 states/eV/f.u.
! E_form   -0.476 eV/atom
! Energy relative to the lowest polymorph listed for this composition   0.0000 eV per atom
! Total moment   1.787 μB per atom

---

! TbEuIn (GGA-PBE, relaxed); values from VASP
&SYSTEM
  ibrav = 0, nat = 3, ntyp = 3
/
ATOMIC_SPECIES
In 114.82 In.upf
Tb 158.93 Tb.upf
Eu 151.96 Eu.upf
CELL_PARAMETERS angstrom
3.767 0.000 0.000
0.000 3.767 0.000
-1.883 -1.883 6.682
ATOMIC_POSITIONS crystal
In 0.624 0.624 0.249
Tb 0.262 0.262 0.524
Eu 0.964 0.964 0.927
! N(E_F)   3.461 states/eV/f.u.
! E_form   -0.257 eV/atom
! Energy relative to the lowest polymorph listed for this composition   0.0000 eV per atom
! Total moment   2.624 μB per atom

---

! TbEuThIn (GGA-PBE, relaxed); values from VASP
&SYSTEM
  ibrav = 0, nat = 4, ntyp = 4
/
ATOMIC_SPECIES
Th 232.04 Th.upf
In 114.82 In.upf
Tb 158.93 Tb.upf
Eu 151.96 Eu.upf
CELL_PARAMETERS angstrom
5.544 0.000 0.000
2.772 4.802 0.000
2.772 1.601 4.527
ATOMIC_POSITIONS crystal
Th 0.250 0.250 0.250
In 0.500 0.500 0.500
Tb 0.750 0.750 0.750
Eu 0.000 0.000 0.000
! N(E_F)   7.021 states/eV/f.u.
! E_form   -0.023 eV/atom
! Total moment   1.946 μB per atom

---

! TbEuTlIn (GGA-PBE, relaxed); values from VASP
&SYSTEM
  ibrav = 0, nat = 4, ntyp = 4
/
ATOMIC_SPECIES
Tl 204.38 Tl.upf
In 114.82 In.upf
Eu 151.96 Eu.upf
Tb 158.93 Tb.upf
CELL_PARAMETERS angstrom
5.479 0.000 0.000
2.739 4.745 0.000
2.739 1.582 4.473
ATOMIC_POSITIONS crystal
Tl 0.000 0.000 0.000
In 0.500 0.500 0.500
Eu 0.750 0.750 0.750
Tb 0.250 0.250 0.250
! N(E_F)   9.108 states/eV/f.u.
! E_form   -0.403 eV/atom
! Total moment   1.826 μB per atom

---

! EuIn2Te (GGA-PBE, relaxed); values from VASP
&SYSTEM
  ibrav = 0, nat = 4, ntyp = 3
/
ATOMIC_SPECIES
Te 127.60 Te.upf
In 114.82 In.upf
Eu 151.96 Eu.upf
CELL_PARAMETERS angstrom
4.055 0.000 0.000
2.028 3.512 0.000
2.028 1.171 10.673
ATOMIC_POSITIONS crystal
Te 0.500 0.500 0.500
In 0.896 0.896 0.312
In 0.104 0.104 0.688
Eu 0.000 0.000 0.000
! N(E_F)   10.116 states/eV/f.u.
! ΔE_f (raw)   -6 kJ/mol of atoms
! Total moment   1.968 μB per atom

---

! EuTh2In (GGA-PBE, relaxed); values from VASP
&SYSTEM
  ibrav = 0, nat = 4, ntyp = 3
/
ATOMIC_SPECIES
Th 232.04 Th.upf
Eu 151.96 Eu.upf
In 114.82 In.upf
CELL_PARAMETERS angstrom
4.961 0.000 0.000
0.000 4.967 0.000
0.000 0.000 4.967
ATOMIC_POSITIONS crystal
Th 0.000 0.000 0.500
Eu 0.500 0.500 0.500
In 0.500 0.000 0.000
Th 0.000 0.500 0.000
! N(E_F)   4.781 states/eV/f.u.
! E_form   -0.082 eV/atom
! Energy relative to the lowest polymorph listed for this composition   0.0000 eV per atom
! Total moment   1.868 μB per atom

---

! EuTh2In (GGA-PBE, relaxed); values from VASP
&SYSTEM
  ibrav = 0, nat = 4, ntyp = 3
/
ATOMIC_SPECIES
In 114.82 In.upf
Th 232.04 Th.upf
Eu 151.96 Eu.upf
CELL_PARAMETERS angstrom
-3.698 -1.761 0.992
1.981 -2.748 2.507
-0.674 4.485 5.447
ATOMIC_POSITIONS crystal
In 0.500 0.500 0.000
Th 0.000 0.000 0.776
Th 0.000 0.000 0.224
Eu 0.500 0.500 0.500
! N(E_F)   5.728 states/eV/f.u.
! E_form   0.019 eV/atom
! Energy relative to the lowest polymorph listed for this composition   0.1009 eV per atom
! Total moment   1.810 μB per atom

---

! EuTh2In (GGA-PBE, relaxed); values from VASP
&SYSTEM
  ibrav = 0, nat = 4, ntyp = 3
/
ATOMIC_SPECIES
Th 232.04 Th.upf
In 114.82 In.upf
Eu 151.96 Eu.upf
CELL_PARAMETERS angstrom
3.435 0.000 0.000
1.717 2.975 0.000
1.717 0.992 12.552
ATOMIC_POSITIONS crystal
Th 0.908 0.908 0.277
In 0.500 0.500 0.500
Th 0.092 0.092 0.723
Eu 0.000 0.000 0.000
! N(E_F)   4.406 states/eV/f.u.
! E_form   0.134 eV/atom
! Energy relative to the lowest polymorph listed for this composition   0.2162 eV per atom
! Total moment   1.853 μB per atom

---

! EuThTlIn (GGA-PBE, relaxed); values from VASP
&SYSTEM
  ibrav = 0, nat = 4, ntyp = 4
/
ATOMIC_SPECIES
Tl 204.38 Tl.upf
Eu 151.96 Eu.upf
In 114.82 In.upf
Th 232.04 Th.upf
CELL_PARAMETERS angstrom
5.533 0.000 0.000
2.767 4.792 0.000
2.767 1.597 4.518
ATOMIC_POSITIONS crystal
Tl 0.000 0.000 0.000
Eu 0.250 0.250 0.250
In 0.500 0.500 0.500
Th 0.750 0.750 0.750
! N(E_F)   6.416 states/eV/f.u.
! E_form   -0.245 eV/atom
! Total moment   1.836 μB per atom

---

! EuTmThIn (GGA-PBE, relaxed); values from VASP
&SYSTEM
  ibrav = 0, nat = 4, ntyp = 4
/
ATOMIC_SPECIES
Th 232.04 Th.upf
Tm 168.93 Tm.upf
In 114.82 In.upf
Eu 151.96 Eu.upf
CELL_PARAMETERS angstrom
-5.011 -0.671 2.201
-0.513 -1.740 5.207
-1.784 3.464 3.901
ATOMIC_POSITIONS crystal
Th 0.750 0.750 0.750
Tm 0.250 0.250 0.250
In 0.000 0.000 0.000
Eu 0.500 0.500 0.500
! N(E_F)   7.003 states/eV/f.u.
! E_form   -0.001 eV/atom
! Total moment   1.963 μB per atom

---

! EuYThIn (GGA-PBE, relaxed); values from VASP
&SYSTEM
  ibrav = 0, nat = 4, ntyp = 4
/
ATOMIC_SPECIES
In 114.82 In.upf
Y 88.91 Y.upf
Th 232.04 Th.upf
Eu 151.96 Eu.upf
CELL_PARAMETERS angstrom
5.545 0.000 0.000
2.773 4.802 0.000
2.773 1.601 4.528
ATOMIC_POSITIONS crystal
In 0.750 0.750 0.750
Y 0.000 0.000 0.000
Th 0.500 0.500 0.500
Eu 0.250 0.250 0.250
! N(E_F)   7.068 states/eV/f.u.
! E_form   -0.029 eV/atom
! Total moment   1.973 μB per atom

---

> N(E_F) of number 10 (EuThTlIn)?

6.416 states/eV/f.u.